1.
A plane-wave DFT calculation with GGA-PBE was carried out for ScTlZnFe after structural relaxation.

Cell lengths 4.645, 4.645, 4.645 Å; angles 60.00, 60.00, 60.00 degrees
Atoms (fractional coordinates):
Sc 0.000 0.000 0.000
Tl 0.500 0.500 0.500
Zn 0.250 0.250 0.250
Fe 0.750 0.750 0.750

Output
The final energy is -17.77 eV per cell. As for the crystal system: cubic. Its space-group type is No. 216. The value obtained for the spin magnetization is 1.88 Bohr magnetons per cell.

=====

2.
A plane-wave DFT calculation with GGA-PBE was carried out for Lu4CdGeN2 after structural relaxation.

Cell lengths 3.400, 3.400, 14.704 Å; angles 90.00, 90.00, 120.00 degrees
Atoms (fractional coordinates):
Lu 0.000 0.000 0.151
Lu 0.000 0.000 0.849
Lu 0.667 0.333 0.329
Lu 0.667 0.333 0.671
Cd 0.000 0.000 0.500
Ge 0.667 0.333 0.000
N 0.333 0.667 0.239
N 0.333 0.667 0.761

Output
The final energy is -49.02 eV per cell. As for the crystal system: hexagonal. Its space-group type is No. 187. The value obtained for the spin magnetization is 0.02 Bohr magnetons per cell.

=====

3.
A plane-wave DFT calculation with GGA-PBE was carried out for Lu2Zr after structural relaxation.

Cell lengths 6.186, 6.186, 6.186 Å; angles 60.00, 60.00, 60.00 degrees
Atoms (fractional coordinates):
Lu 0.000 0.000 0.000
Lu 0.000 0.000 0.500
Lu 0.000 0.500 0.000
Lu 0.500 0.000 0.000
Zr 0.375 0.375 0.375
Zr 0.625 0.625 0.625

Output
The final energy is -32.32 eV per cell. As for the crystal system: cubic. Its formation enthalpy at 0 K is 0.478 eV per atom. Its space-group type is No. 227. The value obtained for the spin magnetization is 4.89 Bohr magnetons per cell.

=====

4.
A plane-wave DFT calculation with GGA-PBE was carried out for CdH4C4O6 after structural relaxation.

Cell lengths 8.246, 11.878, 6.064 Å; angles 90.00, 103.81, 90.00 degrees
Atoms (fractional coordinates):
Cd 0.227 0.132 0.187
Cd 0.227 0.368 0.687
Cd 0.773 0.632 0.313
Cd 0.773 0.868 0.813
H 0.045 0.559 0.775
H 0.045 0.941 0.275
H 0.241 0.597 0.823
H 0.241 0.903 0.323
H 0.253 0.138 0.659
H 0.253 0.362 0.159
H 0.429 0.188 0.617
H 0.429 0.312 0.117
H 0.571 0.688 0.883
H 0.571 0.812 0.383
H 0.747 0.638 0.841
H 0.747 0.862 0.341
H 0.759 0.097 0.677
H 0.759 0.403 0.177
H 0.955 0.059 0.725
H 0.955 0.441 0.225
C 0.160 0.659 0.334
C 0.160 0.841 0.834
C 0.224 0.546 0.310
C 0.224 0.954 0.810
C 0.322 0.705 0.324
C 0.322 0.795 0.824
C 0.386 0.592 0.300
C 0.386 0.908 0.800
C 0.614 0.092 0.200
C 0.614 0.408 0.700
C 0.678 0.205 0.176
C 0.678 0.295 0.676
C 0.776 0.046 0.190
C 0.776 0.454 0.690
C 0.840 0.159 0.166
C 0.840 0.341 0.666
O 0.028 0.705 0.360
O 0.028 0.795 0.860
O 0.162 0.533 0.825
O 0.162 0.967 0.325
O 0.167 0.055 0.808
O 0.167 0.445 0.308
O 0.301 0.195 0.569
O 0.301 0.305 0.069
O 0.381 0.696 0.834
O 0.381 0.804 0.334
O 0.480 0.049 0.222
O 0.480 0.451 0.722
O 0.520 0.549 0.278
O 0.520 0.951 0.778
O 0.619 0.196 0.666
O 0.619 0.304 0.166
O 0.699 0.695 0.931
O 0.699 0.805 0.431
O 0.833 0.555 0.692
O 0.833 0.945 0.192
O 0.838 0.033 0.675
O 0.838 0.467 0.175
O 0.972 0.205 0.140
O 0.972 0.295 0.640

Output
The final energy is -372.23 eV per cell. As for the crystal system: monoclinic. Its space-group type is No. 14.

=====

5.
A plane-wave DFT calculation with GGA-PBE was carried out for GdGe3Pt4 after structural relaxation.

Cell lengths 5.601, 3.926, 6.722 Å; angles 90.00, 93.97, 90.00 degrees
Atoms (fractional coordinates):
Gd 0.000 0.000 0.000
Ge 0.242 0.500 0.647
Ge 0.531 0.500 0.114
Ge 0.756 0.000 0.471
Pt 0.319 0.000 0.386
Pt 0.469 0.000 0.850
Pt 0.781 0.500 0.715
Pt 0.957 0.500 0.311

Output
The final energy is -47.41 eV per cell. As for the crystal system: monoclinic. Its space-group type is No. 6. The value obtained for the spin magnetization is 0.00 Bohr magnetons per cell.

=====

6.
A plane-wave DFT calculation with GGA-PBE was carried out for NpBeNb after structural relaxation.

Cell lengths 4.305, 4.305, 4.305 Å; angles 60.00, 60.00, 60.00 degrees
Atoms (fractional coordinates):
Np 0.000 0.000 0.000
Be 0.750 0.750 0.750
Nb 0.250 0.250 0.250

Output
The final energy is -22.51 eV per cell. As for the crystal system: cubic. Its space-group type is No. 216. The value obtained for the spin magnetization is 2.47 Bohr magnetons per cell.

=====

7.
A plane-wave DFT calculation with GGA-PBE was carried out for TlAg3 after structural relaxation.

Cell lengths 4.860, 6.027, 5.252 Å; angles 90.00, 90.00, 90.00 degrees
Atoms (fractional coordinates):
Tl 0.250 0.250 0.161
Tl 0.750 0.750 0.839
Ag 0.250 0.501 0.661
Ag 0.250 0.750 0.180
Ag 0.250 0.999 0.661
Ag 0.750 0.001 0.339
Ag 0.750 0.250 0.820
Ag 0.750 0.499 0.339

Output
The final energy is -21.03 eV per cell. As for the crystal system: orthorhombic. Its space-group type is No. 59.

=====

8.
A plane-wave DFT calculation with GGA-PBE was carried out for Nb2IrPd after structural relaxation.

Cell lengths 4.519, 4.519, 4.519 Å; angles 60.00, 60.00, 60.00 degrees
Atoms (fractional coordinates):
Nb 0.000 0.000 0.000
Nb 0.250 0.250 0.250
Ir 0.750 0.750 0.750
Pd 0.500 0.500 0.500

Output
The final energy is -34.95 eV per cell. As for the crystal system: cubic. Its formation enthalpy at 0 K is -0.183 eV per atom. Its space-group type is No. 216. The value obtained for the spin magnetization is 0.04 Bohr magnetons per cell.

=====

9.
A plane-wave DFT calculation with GGA-PBE was carried out for ZrGaCoIr after structural relaxation.

Cell lengths 4.478, 4.478, 4.478 Å; angles 60.00, 60.00, 60.00 degrees
Atoms (fractional coordinates):
Zr 0.000 0.000 0.000
Ga 0.250 0.250 0.250
Co 0.500 0.500 0.500
Ir 0.750 0.750 0.750

Output
The final energy is -28.30 eV per cell. As for the crystal system: cubic. Its space-group type is No. 216. The value obtained for the spin magnetization is 1.96 Bohr magnetons per cell.

=====

10.
A plane-wave DFT calculation with GGA-PBE was carried out for YReSi after structural relaxation.

Cell lengths 8.705, 8.705, 8.705 Å; angles 28.38, 28.38, 28.38 degrees
Atoms (fractional coordinates):
Y 0.218 0.218 0.218
Y 0.782 0.782 0.782
Re 0.048 0.048 0.048
Re 0.952 0.952 0.952
Si 0.385 0.385 0.385
Si 0.615 0.615 0.615

Output
The final energy is -48.38 eV per cell. As for the crystal system: trigonal. Its space-group type is No. 166. The value obtained for the spin magnetization is 0.00 Bohr magnetons per cell.

=====

11.
A plane-wave DFT calculation with GGA-PBE was carried out for ZnGa2Ag after structural relaxation.

Cell lengths 4.664, 4.664, 4.664 Å; angles 60.00, 60.00, 60.00 degrees
Atoms (fractional coordinates):
Zn 0.000 0.000 0.000
Ga 0.250 0.250 0.250
Ga 0.500 0.500 0.500
Ag 0.750 0.750 0.750

Output
The final energy is -9.81 eV per cell. As for the crystal system: cubic. Its space-group type is No. 216.

=====

12.
A plane-wave DFT calculation with GGA-PBE was carried out for ReSi after structural relaxation.

Cell lengths 3.878, 3.878, 3.878 Å; angles 60.00, 60.00, 60.00 degrees
Atoms (fractional coordinates):
Re 0.000 0.000 0.000
Si 0.750 0.750 0.750

Output
The final energy is -15.45 eV per cell. As for the crystal system: cubic. Its space-group type is No. 216. The value obtained for the spin magnetization is 1.03 Bohr magnetons per cell.

=====

- Look up the final energy of the ninth one.
  -28.30 eV per cell